# KCu2Tc PBE-GGA relaxed
data_KCu2Tc
_cell_length_a 5.313
_cell_length_b 5.313
_cell_length_c 5.313
_cell_angle_alpha 135.39
_cell_angle_beta 135.39
_cell_angle_gamma 64.93
_symmetry_space_group_name_H-M 'P 1'
_symmetry_Int_Tables_number 1
_symmetry_space_group_name_Hall 'P 1'
loop_
_atom_site_label
_atom_site_fract_x
_atom_site_fract_y
_atom_site_fract_z
K1 0.000 0.000 0.000
Cu1 0.500 0.500 0.000
Cu2 0.750 0.250 0.500
Tc1 0.250 0.750 0.500
# formation energy from the elements: 4.98 eV/f.u.
# polymorph energy (0 for the lowest one): 0.679 eV/atom
# space group: I-4m2 (119)


# SrZnIr PBE-GGA relaxed
data_SrZnIr
_cell_length_a 6.240
_cell_length_b 6.240
_cell_length_c 6.240
_cell_angle_alpha 133.35
_cell_angle_beta 83.83
_cell_angle_gamma 114.90
_symmetry_space_group_name_H-M 'P 1'
_symmetry_Int_Tables_number 1
_symmetry_space_group_name_Hall 'P 1'
loop_
_atom_site_label
_atom_site_fract_x
_atom_site_fract_y
_atom_site_fract_z
Sr1 0.000 0.000 0.000
Sr2 0.500 0.000 0.500
Zn1 0.346 0.596 0.750
Zn2 0.654 0.404 0.250
Ir1 0.000 0.000 0.500
Ir2 0.000 0.500 0.000
# formation energy from the elements: -0.53 eV/f.u.
# space group: Imma (74)